Entry 1:
# Mn2NiCl

A relaxed Mn2NiCl crystal (PBE, the Alexandria database).

abc: 4.0264 4.0264 4.0264
angles: 60.00 60.00 60.00
Closest atoms and distances in Å follow each position.
Positions (direct):
Mn  0.2500  0.2500  0.2500  4 Cl 2.47, 4 Ni 2.47
Mn  0.7500  0.7500  0.7500  4 Cl 2.47, 4 Ni 2.47
Ni  0.0000  0.0000  0.0000  8 Mn 2.47
Cl  0.5000  0.5000  0.5000  8 Mn 2.47

Space group: Fm-3m (225)
DOS at the Fermi energy (states/eV/cell): 6.80
Calculated total energy (eV/atom): -5.65
Energy relative to the lowest polymorph listed for this composition (meV/atom): 868
ΔE_f (raw) (eV/atom): 0.841



Entry 2:
# YPIr2

A relaxed YPIr2 crystal (PBE, the Alexandria database).

abc: 4.6029 4.6029 4.6029
angles: 60.00 60.00 60.00
Closest atoms and distances in Å follow each position.
Positions (direct):
Y  0.0000  0.0000  0.0000  4 Ir 2.82, 4 P 2.82
P  0.2500  0.2500  0.2500  4 Ir 2.82, 4 Y 2.82
Ir  0.5000  0.5000  0.5000  4 Ir 2.82, 4 P 2.82
Ir  0.7500  0.7500  0.7500  4 Ir 2.82, 4 Y 2.82

Space group: F-43m (216)
DOS at the Fermi energy (states/eV/cell): 7.54
Formation energy (eV/f.u.): 0.01
Calculated total energy (eV/atom): -7.40



Entry 3:
# Tm4TePtSe2

A relaxed Tm4TePtSe2 crystal (PBE, the Alexandria database).

abc: 7.2548 4.0173 7.2609
angles: 90.00 108.46 90.00
Closest atoms and distances in Å follow each position.
Positions (direct):
Tm  0.2198  0.0000  0.2325  2 Pt 2.78, 3 Se 2.88-3.07, 1 Te 3.03
Tm  0.2251  0.5000  0.7447  3 Se 2.83-3.06, 1 Pt 2.83, 2 Te 3.02
Tm  0.7749  0.5000  0.2553  3 Se 2.83-3.06, 1 Pt 2.83, 2 Te 3.02
Tm  0.7802  0.0000  0.7675  2 Pt 2.78, 3 Se 2.88-3.07, 1 Te 3.03
Te  0.5000  0.0000  0.0000  6 Tm 3.02-3.03
Pt  0.0000  0.5000  0.0000  6 Tm 2.78-2.83
Se  0.0000  0.0000  0.5000  6 Tm 2.83-2.88
Se  0.5000  0.5000  0.5000  6 Tm 3.06-3.07

Space group: P2/m (10)
DOS at the Fermi energy (states/eV/cell): 4.71
Calculated total energy (eV/atom): -5.70
ΔE_f (raw) (eV/atom): -1.442



Entry 4:
# TaCu5Pd8

A relaxed TaCu5Pd8 crystal (PBE, the Alexandria database).

abc: 6.5103 6.5103 6.5103
angles: 109.97 109.97 108.48
Closest atoms and distances in Å follow each position.
Positions (direct):
Ta  0.0000  0.0000  0.0000  4 Pd 2.52
Cu  0.2200  0.6262  0.1698  8 Pd 2.52-2.73
Cu  0.3738  0.5436  0.5938  8 Pd 2.52-2.73
Cu  0.4564  0.0502  0.8302  8 Pd 2.52-2.73
Cu  0.7500  0.2500  0.5000  8 Pd 2.49-2.61
Cu  0.9498  0.7800  0.4062  8 Pd 2.52-2.73
Pd  0.1080  0.6874  0.7757  5 Cu 2.49-2.63, 1 Ta 2.52
Pd  0.1602  0.2602  0.7667  5 Cu 2.61-2.73, 4 Pd 2.68-2.89, 1 Ta 2.83
Pd  0.3126  0.0884  0.4207  5 Cu 2.49-2.63, 1 Ta 2.52
Pd  0.4935  0.3935  0.2333  5 Cu 2.61-2.73, 4 Pd 2.68-2.89, 1 Ta 2.83
Pd  0.6065  0.8398  0.1000  5 Cu 2.61-2.73, 4 Pd 2.68-2.89, 1 Ta 2.83
Pd  0.6677  0.8920  0.5793  5 Cu 2.49-2.63, 1 Ta 2.52
Pd  0.7398  0.5065  0.9000  5 Cu 2.61-2.73, 4 Pd 2.68-2.89, 1 Ta 2.83
Pd  0.9116  0.3323  0.2243  5 Cu 2.49-2.63, 1 Ta 2.52

Space group: I-4 (82)
DOS at the Fermi energy (states/eV/cell): 6.71
Formation energy (eV/f.u.): -0.40
Calculated total energy (eV/atom): -5.31



Entry 5:
# MnPt2W

A relaxed MnPt2W crystal (PBE, the Alexandria database).

abc: 4.8287 4.8287 4.8287
angles: 132.85 132.85 68.89
Closest atoms and distances in Å follow each position.
Positions (direct):
Mn  0.0000  0.0000  0.0000  4 W 2.73, 8 Pt 2.77
Pt  0.2500  0.7500  0.5000  4 Pt 2.73, 4 W 2.77, 4 Mn 2.77
Pt  0.7500  0.2500  0.5000  4 Pt 2.73, 4 W 2.77, 4 Mn 2.77
W  0.5000  0.5000  0.0000  4 Mn 2.73, 8 Pt 2.77

Space group: I4/mmm (139)
DOS at the Fermi energy (states/eV/cell): 2.14
Formation energy (eV/f.u.): -1.11
Calculated total energy (eV/atom): -8.83
Energy relative to the lowest polymorph listed for this composition (meV/atom): 14



Entry 6:
# GaSn2HgBi

A relaxed GaSn2HgBi crystal (PBE, the Alexandria database).

abc: 6.5013 4.4883 10.8091
angles: 90.00 96.53 90.00
Closest atoms and distances in Å follow each position.
Positions (direct):
Ga  0.2092  0.2500  0.3876  1 Hg 2.64, 4 Sn 2.86-2.93
Ga  0.7908  0.7500  0.6124  1 Hg 2.64, 4 Sn 2.86-2.93
Sn  0.0198  0.2500  0.1299  1 Ga 2.91, 3 Bi 3.11-3.13
Sn  0.0646  0.2500  0.6345  3 Ga 2.86-2.93, 2 Hg 3.09
Sn  0.9354  0.7500  0.3655  3 Ga 2.86-2.93, 2 Hg 3.09
Sn  0.9802  0.7500  0.8701  1 Ga 2.91, 3 Bi 3.11-3.13
Hg  0.3904  0.7500  0.6358  1 Ga 2.64
Hg  0.6096  0.2500  0.3642  1 Ga 2.64
Bi  0.3110  0.2500  0.9188  4 Sn 3.11-3.30
Bi  0.6890  0.7500  0.0812  4 Sn 3.11-3.30

Space group: P2_1/m (11)
DOS at the Fermi energy (states/eV/cell): 4.44
Formation energy (eV/f.u.): 0.45
Calculated total energy (eV/atom): -2.95



Entry 7:
# Sm3YIn

A relaxed Sm3YIn crystal (PBE, the Alexandria database).

abc: 13.0536 13.0536 4.8801
angles: 90.00 90.00 158.47
Closest atoms and distances in Å follow each position.
Positions (direct):
Sm  0.0523  0.9477  0.7500  8 Sm 3.45-3.63, 2 Y 3.51, 2 In 3.55
Sm  0.2493  0.7507  0.7500  4 Sm 3.45, 4 In 3.47-3.49, 4 Y 3.52-3.54
Sm  0.4475  0.5525  0.7500  8 Sm 3.45-3.63, 2 Y 3.50, 2 In 3.55
Sm  0.5525  0.4475  0.2500  8 Sm 3.45-3.63, 2 Y 3.50, 2 In 3.55
Sm  0.7507  0.2493  0.2500  4 Sm 3.45, 4 In 3.47-3.49, 4 Y 3.52-3.54
Sm  0.9477  0.0523  0.2500  8 Sm 3.45-3.63, 2 Y 3.51, 2 In 3.55
Y  0.1506  0.8494  0.2500  4 In 3.45, 8 Sm 3.50-3.54
Y  0.8494  0.1506  0.7500  4 In 3.45, 8 Sm 3.50-3.54
In  0.3469  0.6531  0.2500  4 Y 3.45, 8 Sm 3.47-3.55
In  0.6531  0.3469  0.7500  4 Y 3.45, 8 Sm 3.47-3.55

Space group: Cmcm (63)
DOS at the Fermi energy (states/eV/cell): 11.62
Formation energy (eV/f.u.): -0.96
Calculated total energy (eV/atom): -4.86
Energy relative to the lowest polymorph listed for this composition (meV/atom): 0



Entry 8:
# Be17NbMo

A relaxed Be17NbMo crystal (PBE, the Alexandria database).

abc: 5.5284 5.5284 5.5284
angles: 83.14 83.14 83.14
Closest atoms and distances in Å follow each position.
Positions (direct):
Be  0.0566  0.0566  0.0566  7 Be 2.12-2.33
Be  0.1526  0.1526  0.6564  10 Be 2.09-2.24
Be  0.1526  0.6564  0.1526  10 Be 2.09-2.24
Be  0.1568  0.4504  0.8563  8 Be 2.09-2.22
Be  0.1568  0.8563  0.4504  8 Be 2.09-2.22
Be  0.2557  0.2557  0.2557  7 Be 2.12-2.30
Be  0.3169  0.8051  0.8051  9 Be 2.10-2.33
Be  0.4504  0.1568  0.8563  8 Be 2.09-2.22
Be  0.4504  0.8563  0.1568  8 Be 2.09-2.22
Be  0.5019  0.5019  0.9962  9 Be 2.10-2.30
Be  0.5019  0.9962  0.5019  9 Be 2.10-2.30
Be  0.6564  0.1526  0.1526  10 Be 2.09-2.24
Be  0.8051  0.3169  0.8051  9 Be 2.10-2.33
Be  0.8051  0.8051  0.3169  9 Be 2.10-2.33
Be  0.8563  0.1568  0.4504  8 Be 2.09-2.22
Be  0.8563  0.4504  0.1568  8 Be 2.09-2.22
Be  0.9962  0.5019  0.5019  9 Be 2.10-2.30
Nb  0.8149  0.8149  0.8149  19 Be 2.58-2.79
Mo  0.4948  0.4948  0.4948  19 Be 2.55-2.83

Space group: R3m (160)
DOS at the Fermi energy (states/eV/cell): 2.73
Formation energy (eV/f.u.): -3.49
Calculated total energy (eV/atom): -4.62